Here is Te2OsSe after structural relaxation from Alexandria. Energies are from PBEsol.

Summary:
Volume: 21.55 Å³/atom
Energy: -5.172 eV per atom
Total magnetization: 0.000 μB per formula unit
ΔE_f (raw): 0.607 eV/atom
Symmetry: No. 139

a b c (Å): 4.823 4.823 4.823
angles (deg): 106.58 110.94 110.94
Fractional positions:
1 Se 0.000 0.000 0.000
2 Os 0.000 0.500 0.500
3 Te 0.500 0.000 0.500
4 Te 0.500 0.500 0.000